# 1
{
  "formula": "Cu2TeAs2",
  "functional": "PBE-GGA",
  "state": "optimized geometry",
  "cell": [[7.8342, 0.0000, 0.0000], [0.0000, 7.8342, 0.0000], [0.0000, 0.0000, 2.9812]],
  "species": ["As", "As", "As", "As", "Te", "Te", "Cu", "Cu", "Cu", "Cu"],
  "fractional_positions": [[0.1221, 0.6221, 0.5000], [0.6221, 0.8779, 0.5000], [0.8779, 0.3779, 0.5000], [0.3779, 0.1221, 0.5000], [0.0000, 0.0000, 0.0000], [0.5000, 0.5000, 0.0000], [0.3435, 0.8435, 0.0000], [0.8435, 0.6565, 0.0000], [0.6565, 0.1565, 0.0000], [0.1565, 0.3435, 0.0000]],
  "de_polymorph_mev_per_atom": 1.0,
  "formation_energy_uncorrected_mev_per_atom": 247
}



# 2
{
  "formula": "TiCuTeAs2",
  "functional": "PBE-GGA",
  "state": "optimized geometry",
  "cell": [[4.6019, 0.0000, 0.0000], [0.0000, 5.2500, 0.0000], [0.0000, 0.0000, 4.6019]],
  "species": ["As", "As", "Te", "Cu", "Ti"],
  "fractional_positions": [[0.0000, 0.0000, 0.5000], [0.5000, 0.0000, 0.0000], [0.0000, 0.5000, 0.0000], [0.0000, 0.0000, 0.0000], [0.5000, 0.5000, 0.5000]],
  "formation_energy_uncorrected_mev_per_atom": 575
}



# 3
{
  "formula": "Tl2Cu2Te4As",
  "functional": "PBE-GGA",
  "state": "optimized geometry",
  "cell": [[4.1377, 0.0000, 0.0000], [-2.0689, 7.9206, -0.1765], [0.0000, -2.9339, 7.7482]],
  "species": ["Tl", "Tl", "Cu", "Cu", "Te", "Te", "Te", "Te", "As"],
  "fractional_positions": [[0.8718, 0.7436, 0.4403], [0.1282, 0.2564, 0.5597], [0.3007, 0.6014, 0.0044], [0.6993, 0.3986, 0.9956], [0.8035, 0.6070, 0.8098], [0.1965, 0.3930, 0.1902], [0.4758, 0.9517, 0.2254], [0.5242, 0.0483, 0.7746], [0.0000, 0.0000, 0.0000]],
  "formation_energy_uncorrected_mev_per_atom": -135
}



# 4
{
  "formula": "TlCu2TeAs",
  "functional": "PBE-GGA",
  "state": "optimized geometry",
  "cell": [[4.7468, 0.0000, 0.0000], [0.0000, 6.8731, 0.0000], [0.0000, 0.0000, 4.7468]],
  "species": ["Tl", "Te", "As", "Cu", "Cu"],
  "fractional_positions": [[0.0000, 0.5000, 0.0000], [0.0000, 0.0000, 0.0000], [0.5000, 0.5000, 0.5000], [0.0000, 0.0000, 0.5000], [0.5000, 0.0000, 0.0000]],
  "formation_energy_uncorrected_mev_per_atom": 642
}



# 5
{
  "formula": "V2CuTeAs",
  "functional": "PBE-GGA",
  "state": "optimized geometry",
  "cell": [[-1.1176, -3.0476, 3.6055], [-2.9867, -2.4129, -2.9654], [3.3607, -2.6683, -1.2137]],
  "species": ["As", "Te", "Cu", "V", "V"],
  "fractional_positions": [[0.0000, 0.0000, 0.0000], [0.5000, 0.5000, 0.5000], [0.0000, 0.0000, 0.5000], [0.0000, 0.5000, 0.0000], [0.5000, 0.0000, 0.0000]],
  "formation_energy_uncorrected_mev_per_atom": 369
}



# 6
{
  "formula": "ThCu2As2",
  "functional": "PBE-GGA",
  "state": "optimized geometry",
  "cell": [[4.0245, 0.0000, 0.0000], [0.0000, 9.2975, 0.0000], [0.0000, 0.0000, 10.1797]],
  "species": ["Th", "Th", "Th", "Th", "Cu", "Cu", "Cu", "Cu", "Cu", "Cu", "Cu", "Cu", "As", "As", "As", "As", "As", "As", "As", "As"],
  "fractional_positions": [[0.2500, 0.2538, 0.8112], [0.7500, 0.2462, 0.3112], [0.7500, 0.7462, 0.1888], [0.2500, 0.7538, 0.6888], [0.7500, 0.4400, 0.5933], [0.2500, 0.0600, 0.0933], [0.2500, 0.5600, 0.4067], [0.7500, 0.9400, 0.9067], [0.2500, 0.0635, 0.5478], [0.7500, 0.4365, 0.0478], [0.7500, 0.9365, 0.4522], [0.2500, 0.5635, 0.9522], [0.7500, 0.0286, 0.6852], [0.2500, 0.4714, 0.1852], [0.2500, 0.9714, 0.3148], [0.7500, 0.5286, 0.8148], [0.2500, 0.3212, 0.5223], [0.7500, 0.1788, 0.0223], [0.7500, 0.6788, 0.4777], [0.2500, 0.8212, 0.9777]],
  "ef_mev_per_atom": -653
}



# 7
{
  "formula": "ThCu2As2",
  "functional": "PBE-GGA",
  "state": "optimized geometry",
  "cell": [[3.9765, 0.0000, 0.0000], [0.0000, 4.0076, 0.0000], [-1.9882, 0.0000, 11.7106]],
  "species": ["Th", "Th", "Cu", "Cu", "Cu", "Cu", "As", "As", "As", "As"],
  "fractional_positions": [[0.3517, 0.2500, 0.7033], [0.6483, 0.7500, 0.2967], [0.0357, 0.7500, 0.0714], [0.4655, 0.7500, 0.9310], [0.9643, 0.2500, 0.9286], [0.5345, 0.2500, 0.0690], [0.7500, 0.2500, 0.5001], [0.2500, 0.7500, 0.4999], [0.8973, 0.7500, 0.7945], [0.1027, 0.2500, 0.2055]],
  "ef_mev_per_atom": -617
}



# 8
{
  "formula": "ThCuAs",
  "functional": "PBE-GGA",
  "state": "optimized geometry",
  "cell": [[-3.2477, 1.2943, 2.5803], [2.2130, -0.7811, 3.1773], [3.9519, 7.0525, 1.4367]],
  "species": ["Cu", "Cu", "As", "As", "Th", "Th"],
  "fractional_positions": [[0.7500, 0.4709, 0.0582], [0.2500, 0.5291, 0.9418], [0.7500, 0.3210, 0.3580], [0.2500, 0.6790, 0.6420], [0.7500, 0.1336, 0.7328], [0.2500, 0.8664, 0.2672]],
  "ef_mev_per_atom": -692
}



# 9
{
  "formula": "ThCu3As3",
  "functional": "PBE-GGA",
  "state": "optimized geometry",
  "cell": [[-6.4270, 1.0540, -0.7445], [-1.2576, -5.9633, 2.4142], [-0.2891, 2.5098, 6.0488]],
  "species": ["As", "As", "As", "As", "As", "As", "Cu", "Cu", "Cu", "Cu", "Cu", "Cu", "Th", "Th"],
  "fractional_positions": [[0.2500, 0.0000, 0.5000], [0.0000, 0.5000, 0.2500], [0.5000, 0.7500, 0.0000], [0.7500, 0.0000, 0.5000], [0.0000, 0.5000, 0.7500], [0.5000, 0.2500, 0.0000], [0.0000, 0.2500, 0.5000], [0.0000, 0.7500, 0.5000], [0.5000, 0.0000, 0.7500], [0.7500, 0.5000, 0.0000], [0.5000, 0.0000, 0.2500], [0.2500, 0.5000, 0.0000], [0.5000, 0.5000, 0.5000], [0.0000, 0.0000, 0.0000]],
  "ef_mev_per_atom": -83
}



# 10
{
  "formula": "Ti2CuAs",
  "functional": "PBE-GGA",
  "state": "optimized geometry",
  "cell": [[-4.6850, -0.3736, 5.0566], [-2.8722, -5.4780, -3.0659], [-2.1287, -4.5780, 2.4019]],
  "species": ["As", "As", "Cu", "Cu", "Ti", "Ti", "Ti", "Ti"],
  "fractional_positions": [[0.0000, 0.0000, 0.0000], [0.7500, 0.2500, 0.5000], [0.5000, 0.5000, 0.0000], [0.2500, 0.7500, 0.5000], [0.6240, 0.1250, 0.2500], [0.1260, 0.6250, 0.2500], [0.3750, 0.3760, 0.7500], [0.8750, 0.8740, 0.7500]],
  "ef_mev_per_atom": -160
}



# 11
{
  "formula": "TiCuAs",
  "functional": "PBE-GGA",
  "state": "optimized geometry",
  "cell": [[3.9913, 0.0000, 0.0000], [0.0000, 3.9913, 0.0000], [0.0000, 0.0000, 6.1179]],
  "species": ["Cu", "Cu", "As", "As", "Ti", "Ti"],
  "fractional_positions": [[0.0000, 0.5000, 0.8119], [0.5000, 0.0000, 0.1880], [0.0000, 0.5000, 0.2174], [0.5000, 0.0000, 0.7826], [0.5000, 0.5000, 0.5000], [0.0000, 0.0000, 0.5000]],
  "ef_mev_per_atom": -362
}



# 12
{
  "formula": "Ti4Cu2As",
  "functional": "PBE-GGA",
  "state": "optimized geometry",
  "cell": [[-1.0926, -0.5597, 4.4690], [-4.0058, -1.9815, -1.2275], [0.1867, -6.7876, 1.5987]],
  "species": ["As", "Cu", "Cu", "Ti", "Ti", "Ti", "Ti"],
  "fractional_positions": [[0.0000, 0.0000, 0.0000], [0.3946, 0.3946, 0.2107], [0.6054, 0.6054, 0.7893], [0.1989, 0.1989, 0.6023], [0.8011, 0.8011, 0.3977], [0.0000, 0.5000, 0.0000], [0.5000, 0.0000, 0.0000]],
  "ef_mev_per_atom": 256
}



# 13
{
  "formula": "Ti5Cu2As5",
  "functional": "PBE-GGA",
  "state": "optimized geometry",
  "cell": [[5.6393, 0.0000, 2.8669], [2.8197, 5.8348, 1.4334], [0.1755, 0.0000, 6.6347]],
  "species": ["Ti", "Ti", "Ti", "Ti", "Ti", "Cu", "Cu", "As", "As", "As", "As", "As"],
  "fractional_positions": [[0.1097, 0.4048, 0.0000], [0.5145, 0.5952, 0.0000], [0.1097, 0.0000, 0.4048], [0.5145, 0.0000, 0.5952], [0.8918, 0.0000, 0.0000], [0.2623, 0.5000, 0.5000], [0.7623, 0.5000, 0.5000], [0.0094, 0.7120, 0.2880], [0.0094, 0.2880, 0.7120], [0.7214, 0.2880, 0.2880], [0.4903, 0.0000, 0.0000], [0.2975, 0.7120, 0.7120]],
  "ef_mev_per_atom": -439
}



# 14
{
  "formula": "TlCu2As",
  "functional": "PBE-GGA",
  "state": "optimized geometry",
  "cell": [[-1.6627, 2.7017, 3.6215], [-3.7314, -2.9361, -0.7969], [1.1550, -2.0210, 2.0380]],
  "species": ["As", "Cu", "Cu", "Tl"],
  "fractional_positions": [[0.0000, 0.5000, 0.5000], [0.0000, 0.0000, 0.0000], [0.5000, 0.5000, 0.0000], [0.5000, 0.0000, 0.5000]],
  "ef_mev_per_atom": 356
}



# 15
{
  "formula": "Tl4CuAs",
  "functional": "PBE-GGA",
  "state": "optimized geometry",
  "cell": [[-5.7971, -2.4741, -0.2510], [-4.8415, 3.5072, -2.0123], [-2.6705, -1.2176, -5.5836]],
  "species": ["Tl", "Tl", "Tl", "Tl", "Cu", "As"],
  "fractional_positions": [[0.3753, 0.8740, 0.3753], [0.8740, 0.3753, 0.3753], [0.3753, 0.3753, 0.8740], [0.3753, 0.3753, 0.3753], [0.0000, 0.0000, 0.0000], [0.7500, 0.7500, 0.7500]],
  "ef_mev_per_atom": 567
}



# 16
{
  "formula": "TlCu2As",
  "functional": "PBE-GGA",
  "state": "optimized geometry",
  "cell": [[5.2947, -0.1819, 0.1222], [-1.2348, 5.1519, 0.1222], [0.9021, 1.1043, 2.8083]],
  "species": ["As", "Cu", "Cu", "Tl"],
  "fractional_positions": [[0.0000, 0.5000, 0.5000], [0.0000, 0.0000, 0.0000], [0.5000, 0.5000, 0.0000], [0.5000, 0.0000, 0.5000]],
  "ef_mev_per_atom": 383
}



# 17
{
  "formula": "TlCuAs2",
  "functional": "PBE-GGA",
  "state": "optimized geometry",
  "cell": [[3.8618, 0.0000, 0.0000], [1.9309, 3.3444, 0.0000], [1.9309, 1.1148, 6.9603]],
  "species": ["Tl", "Cu", "As", "As"],
  "fractional_positions": [[0.5021, 0.5021, 0.4936], [0.6658, 0.6658, 0.0026], [0.0505, 0.0505, 0.8486], [0.2816, 0.2816, 0.1552]],
  "de_polymorph_mev_per_atom": 79.8,
  "ef_mev_per_atom": 109
}



# 18
{
  "formula": "TlCu4As",
  "functional": "PBE-GGA",
  "state": "optimized geometry",
  "cell": [[0.0000, 3.5928, 3.5928], [3.5928, 0.0000, 3.5928], [3.5928, 3.5928, 0.0000]],
  "species": ["Tl", "Cu", "Cu", "Cu", "Cu", "As"],
  "fractional_positions": [[0.7500, 0.7500, 0.7500], [0.8762, 0.3746, 0.3746], [0.3746, 0.3746, 0.8762], [0.3746, 0.8762, 0.3746], [0.3746, 0.3746, 0.3746], [0.0000, 0.0000, 0.0000]],
  "ef_mev_per_atom": 182
}



# 19
{
  "formula": "TlCu2As",
  "functional": "PBE-GGA",
  "state": "optimized geometry",
  "cell": [[3.7708, 0.0000, 0.0000], [0.0000, 3.3783, 0.0204], [0.0000, 1.6760, 5.9744]],
  "species": ["As", "Cu", "Cu", "Tl"],
  "fractional_positions": [[0.5000, 0.7362, 0.9059], [0.0000, 0.2272, 0.9255], [0.5000, 0.0774, 0.2179], [0.0000, 0.4592, 0.4506]],
  "ef_mev_per_atom": 165
}



# 20
{
  "formula": "TlCu3As",
  "functional": "PBE-GGA",
  "state": "optimized geometry",
  "cell": [[-3.2066, -3.1718, -1.7708], [-1.1547, -1.3495, 4.5082], [-3.4442, 3.4055, 0.1372]],
  "species": ["Tl", "As", "Cu", "Cu", "Cu"],
  "fractional_positions": [[0.0000, 0.0000, 0.0000], [0.5000, 0.5000, 0.5000], [0.0000, 0.5000, 0.0000], [0.0000, 0.0000, 0.5000], [0.5000, 0.0000, 0.0000]],
  "de_polymorph_mev_per_atom": 838.1,
  "ef_mev_per_atom": 1119
}



# 21
{
  "formula": "TlCuAs2",
  "functional": "PBE-GGA",
  "state": "optimized geometry",
  "cell": [[4.0446, 0.0000, 0.0000], [0.0000, 4.0446, 0.0000], [0.0000, 0.0000, 4.9647]],
  "species": ["As", "As", "Cu", "Tl"],
  "fractional_positions": [[0.0000, 0.0000, 0.0000], [0.5000, 0.5000, 0.0000], [0.5000, 0.0000, 0.5000], [0.0000, 0.5000, 0.5000]],
  "de_polymorph_mev_per_atom": 386.1,
  "ef_mev_per_atom": 415
}



# 22
{
  "formula": "TlCu2As",
  "functional": "PBE-GGA",
  "state": "optimized geometry",
  "cell": [[0.1510, 0.2634, -6.3869], [0.7536, -3.6476, -5.1973], [-3.0613, -2.0600, -5.2221]],
  "species": ["As", "Cu", "Cu", "Tl"],
  "fractional_positions": [[0.6939, 0.6939, 0.6939], [0.9950, 0.9950, 0.9950], [0.3077, 0.3077, 0.3077], [0.5034, 0.5034, 0.5034]],
  "ef_mev_per_atom": 107
}



# 23
{
  "formula": "Tl3CuAs",
  "functional": "PBE-GGA",
  "state": "optimized geometry",
  "cell": [[5.1941, 0.0000, 0.0000], [0.0000, 5.1941, 0.0000], [0.0000, 0.0000, 5.1941]],
  "species": ["Tl", "Tl", "Tl", "As", "Cu"],
  "fractional_positions": [[0.0000, 0.5000, 0.0000], [0.0000, 0.0000, 0.5000], [0.5000, 0.0000, 0.0000], [0.5000, 0.5000, 0.5000], [0.0000, 0.0000, 0.0000]],
  "ef_mev_per_atom": 336
}



# 24
{
  "formula": "TlCuAs2",
  "functional": "PBE-GGA",
  "state": "optimized geometry",
  "cell": [[-0.4114, 4.1848, 3.4475], [0.6391, -2.5460, 4.7620], [2.6681, 1.1967, -4.5844]],
  "species": ["As", "As", "Cu", "Tl"],
  "fractional_positions": [[0.0455, 0.0455, 0.0000], [0.2599, 0.7599, 0.5000], [0.4645, 0.4645, 0.0000], [0.7300, 0.2300, 0.5000]],
  "de_polymorph_mev_per_atom": 332.4,
  "ef_mev_per_atom": 361
}



# 25
{
  "formula": "Tl2Cu12As7",
  "functional": "PBE-GGA",
  "state": "optimized geometry",
  "cell": [[4.1495, 0.0000, 0.0000], [0.0000, 8.4964, -4.9054], [0.0000, 0.0000, 9.8108]],
  "species": ["Tl", "Tl", "Cu", "Cu", "Cu", "Cu", "Cu", "Cu", "Cu", "Cu", "Cu", "Cu", "Cu", "Cu", "As", "As", "As", "As", "As", "As", "As"],
  "fractional_positions": [[0.2256, 0.3333, 0.6667], [0.7744, 0.6667, 0.3333], [0.2080, 0.6273, 0.0568], [0.2080, 0.4295, 0.3727], [0.2080, 0.9432, 0.5705], [0.7920, 0.3727, 0.9432], [0.7920, 0.5705, 0.6273], [0.7920, 0.0568, 0.4295], [0.1844, 0.1231, 0.2518], [0.1844, 0.1287, 0.8769], [0.1844, 0.7482, 0.8713], [0.8156, 0.8769, 0.7482], [0.8156, 0.8713, 0.1231], [0.8156, 0.2518, 0.1287], [0.5000, 0.0000, 0.0000], [0.2894, 0.8964, 0.2954], [0.2894, 0.3991, 0.1036], [0.2894, 0.7046, 0.6009], [0.7106, 0.1036, 0.7046], [0.7106, 0.6009, 0.8964], [0.7106, 0.2954, 0.3991]],
  "ef_mev_per_atom": 54
}



Sequential theoretical density output: 7.34, 5.81, 7.39, 5.73, 5.82, 8.88, 9.06, 9.00, 7.63, 5.99, 6.35, 4.94, 5.71, 9.60, 8.94, 9.06, 7.72, 9.55, 8.88, 6.86, 8.54, 7.69, 8.91, 7.79, 8.14 g cm⁻³
Sequential total moment output: 0.00, 0.00, 0.00, 1.27, 5.80, 0.00, 0.00, 0.00, 0.00, 0.00, 0.00, 0.13, 3.30, 0.00, 0.00, 0.00, 0.00, 0.00, 0.00, 0.00, 0.00, 0.00, 0.00, 0.00, 0.00 μB/f.u.
Sequential DFT total energy output: -0.2851, -0.3169, -0.2561, -0.2225, -0.4157, -0.4142, -0.4115, -0.4469, -0.3595, -0.4626, -0.4343, -0.4476, -0.4666, -0.2533, -0.1814, -0.2513, -0.2816, -0.2733, -0.2673, -0.2015, -0.2591, -0.2716, -0.2082, -0.2630, -0.2985 Ry/atom